A plane-wave DFT calculation with PBE-GGA was carried out for crystalline MgTaCuSb at its relaxed geometry.

```
16
Lattice="6.654 0.000 0.000 0.000 6.654 0.000 0.000 0.000 6.654" Properties=species:S:1:pos:R:3 pbc="T T T"
Mg 0.000 0.000 0.000
Mg 0.000 3.327 3.327
Mg 3.327 0.000 3.327
Mg 3.327 3.327 0.000
Ta 1.664 1.664 1.664
Ta 1.664 4.991 4.991
Ta 4.991 1.664 4.991
Ta 4.991 4.991 1.664
Cu 1.664 1.664 4.991
Cu 1.664 4.991 1.664
Cu 4.991 1.664 1.664
Cu 4.991 4.991 4.991
Sb 0.000 0.000 3.327
Sb 0.000 3.327 0.000
Sb 3.327 0.000 0.000
Sb 3.327 3.327 3.327
```

## Properties
For the total energy, the calculation gives -4.8526 eV/atom. The crystal system is cubic. Its size of the total moment is 0.052 μB per formula unit. For the energy above the most stable polymorph in this dataset, the calculation gives 0.000 eV per atom. Its space-group type is F-43m, No. 216.